Record 1
Ti2FeTcN: optimized geometry, PBE. Values from VASP.

Quantum ESPRESSO input file:
```
&SYSTEM
  ibrav = 0, nat = 5, ntyp = 4
/
ATOMIC_SPECIES
Ti 47.87 Ti.upf
Fe 55.84 Fe.upf
Tc 98.00 Tc.upf
N 14.01 N.upf
CELL_PARAMETERS angstrom
4.634 0.000 0.000
0.000 4.634 0.000
0.000 0.000 3.377
ATOMIC_POSITIONS crystal
Ti 0.000 0.500 0.000
Ti 0.500 0.000 0.000
Fe 0.000 0.000 0.000
Tc 0.500 0.500 0.500
N 0.000 0.000 0.500
```

Computed properties:
Density ... 6.037 g/cm3
Space group ... No. 123
ΔE_f (raw) ... 0.449 eV per atom



Record 2
TcSbHI2: optimized geometry, PBE. Values from VASP.

Quantum ESPRESSO input file:
```
&SYSTEM
  ibrav = 0, nat = 5, ntyp = 4
/
ATOMIC_SPECIES
Tc 98.00 Tc.upf
Sb 121.76 Sb.upf
H 1.01 H.upf
I 126.90 I.upf
CELL_PARAMETERS angstrom
5.703 0.000 0.000
0.000 5.703 0.000
0.000 0.000 5.082
ATOMIC_POSITIONS crystal
Tc 0.000 0.000 0.000
Sb 0.000 0.000 0.500
H 0.500 0.500 0.500
I 0.000 0.500 0.000
I 0.500 0.000 0.000
```

Computed properties:
Density ... 4.768 g/cm3
Space group ... No. 123
Relative energy among the computed polymorphs ... 0 meV per atom



Record 3
Ba2Al2Bi: optimized geometry, PBE. Values from VASP.

Quantum ESPRESSO input file:
```
&SYSTEM
  ibrav = 0, nat = 10, ntyp = 3
/
ATOMIC_SPECIES
Ba 137.33 Ba.upf
Al 26.98 Al.upf
Bi 208.98 Bi.upf
CELL_PARAMETERS angstrom
8.081 0.000 0.000
0.000 8.081 0.000
0.000 0.000 5.291
ATOMIC_POSITIONS crystal
Ba 0.180 0.320 0.000
Ba 0.320 0.820 0.000
Ba 0.680 0.180 0.000
Ba 0.820 0.680 0.000
Al 0.116 0.616 0.500
Al 0.384 0.116 0.500
Al 0.616 0.884 0.500
Al 0.884 0.384 0.500
Bi 0.000 0.000 0.500
Bi 0.500 0.500 0.500
```

Computed properties:
Density ... 5.168 g/cm3
Space group ... No. 127
ΔE_f ... -0.272 eV per atom



Record 4
BeFeP2: optimized geometry, PBE. Values from VASP.

Quantum ESPRESSO input file:
```
&SYSTEM
  ibrav = 0, nat = 4, ntyp = 3
/
ATOMIC_SPECIES
Be 9.01 Be.upf
Fe 55.84 Fe.upf
P 30.97 P.upf
CELL_PARAMETERS angstrom
2.680 0.000 0.000
0.000 2.680 0.000
0.000 0.000 6.220
ATOMIC_POSITIONS crystal
Be 0.000 0.000 0.000
Fe 0.000 0.000 0.500
P 0.500 0.500 0.265
P 0.500 0.500 0.735
```

Computed properties:
Density ... 4.713 g/cm3
Space group ... No. 123
Relative energy among the computed polymorphs ... 318 meV per atom
ΔE_f ... 0.133 eV per atom



Record 5
V5NiRh6: optimized geometry, PBE. Values from VASP.

Quantum ESPRESSO input file:
```
&SYSTEM
  ibrav = 0, nat = 12, ntyp = 3
/
ATOMIC_SPECIES
V 50.94 V.upf
Ni 58.69 Ni.upf
Rh 102.91 Rh.upf
CELL_PARAMETERS angstrom
-1.940 3.615 5.798
1.940 -3.615 5.798
1.940 3.615 -5.798
ATOMIC_POSITIONS crystal
V 0.000 0.000 0.000
V 0.154 0.654 0.500
V 0.330 0.330 0.000
V 0.670 0.670 0.000
V 0.846 0.346 0.500
Ni 0.500 0.000 0.500
Rh 0.089 0.833 0.256
Rh 0.258 0.500 0.758
Rh 0.422 0.167 0.256
Rh 0.578 0.833 0.744
Rh 0.742 0.500 0.242
Rh 0.911 0.167 0.744
```

Computed properties:
Density ... 9.502 g/cm3
Space group ... No. 71
ΔE_f ... -0.351 eV per atom



Record 6
Y3TiTe: optimized geometry, PBE. Values from VASP.

Quantum ESPRESSO input file:
```
&SYSTEM
  ibrav = 0, nat = 5, ntyp = 3
/
ATOMIC_SPECIES
Y 88.91 Y.upf
Ti 47.87 Ti.upf
Te 127.60 Te.upf
CELL_PARAMETERS angstrom
5.384 0.000 0.000
0.000 5.384 0.000
0.000 0.000 5.384
ATOMIC_POSITIONS crystal
Y 0.000 0.000 0.500
Y 0.000 0.500 0.000
Y 0.500 0.000 0.000
Ti 0.000 0.000 0.000
Te 0.500 0.500 0.500
```

Computed properties:
Density ... 4.704 g/cm3
Space group ... No. 221
Relative energy among the computed polymorphs ... 0 meV per atom
ΔE_f (raw) ... 0.270 eV per atom



Record 7
ZnPd3Pt7: optimized geometry, PBE. Values from VASP.

Quantum ESPRESSO input file:
```
&SYSTEM
  ibrav = 0, nat = 11, ntyp = 3
/
ATOMIC_SPECIES
Zn 65.41 Zn.upf
Pd 106.42 Pd.upf
Pt 195.08 Pt.upf
CELL_PARAMETERS angstrom
4.583 -4.570 0.000
4.583 4.570 0.000
-2.116 0.000 4.455
ATOMIC_POSITIONS crystal
Zn 0.000 0.000 0.000
Pd 0.292 0.708 0.500
Pd 0.500 0.500 0.000
Pd 0.708 0.292 0.500
Pt 0.000 0.000 0.500
Pt 0.082 0.577 0.832
Pt 0.274 0.274 0.455
Pt 0.423 0.918 0.168
Pt 0.577 0.082 0.832
Pt 0.726 0.726 0.545
Pt 0.918 0.423 0.168
```

Computed properties:
Density ... 15.572 g/cm3
Space group ... No. 12
ΔE_f ... 0.130 eV per atom



Record 8
LiAcTe: optimized geometry, PBE. Values from VASP.

Quantum ESPRESSO input file:
```
&SYSTEM
  ibrav = 0, nat = 6, ntyp = 3
/
ATOMIC_SPECIES
Li 6.94 Li.upf
Ac 227.00 Ac.upf
Te 127.60 Te.upf
CELL_PARAMETERS angstrom
4.386 0.000 0.000
0.000 4.386 0.000
0.000 0.000 9.595
ATOMIC_POSITIONS crystal
Li 0.250 0.750 0.000
Li 0.750 0.250 0.000
Ac 0.250 0.250 0.353
Ac 0.750 0.750 0.647
Te 0.250 0.250 0.818
Te 0.750 0.750 0.182
```

Computed properties:
Density ... 6.504 g/cm3
Space group ... No. 129
Relative energy among the computed polymorphs ... 74 meV per atom
ΔE_f (raw) ... -0.910 eV per atom



Looking at final energy for the records above, in order, we have -40.7 -16.9 -33.1 -22.5 -99.7 -29.1 -57.7 -23.8 eV per cell.